A relaxed PmBiPdO6 crystal, computed with PBE.

Lattice parameters (Å, degrees): 5.0282 5.0282 10.1130 90.00 90.00 90.00
Fractional coordinates of all 18 atoms:
O (0.3055, 0.3055, 0.6814)
O (0.2112, 0.7888, 0.8269)
O (0.6771, 0.6771, 0.9898)
O (0.1771, 0.8229, 0.4898)
O (0.2888, 0.2888, 0.3269)
O (0.3229, 0.3229, 0.9898)
O (0.7888, 0.2112, 0.8269)
O (0.7112, 0.7112, 0.3269)
O (0.8055, 0.1945, 0.1814)
O (0.1945, 0.8055, 0.1814)
O (0.6945, 0.6945, 0.6814)
O (0.8229, 0.1771, 0.4898)
Bi (0.5000, 0.5000, 0.1684)
Bi (0.0000, 0.0000, 0.6684)
Pm (0.0000, 0.0000, 0.0019)
Pm (0.5000, 0.5000, 0.5019)
Pd (0.5000, 0.5000, 0.8335)
Pd (0.0000, 0.0000, 0.3335)

## Properties
For the energy relative to the elements, uncorrected, the calculation gives -124 kJ/mol of atoms. Its symmetry is P4_2nm (102).